Entry from Alexandria: an optimized crystal structure of CaLa2PtRh (PBE).

The density of states at the Fermi level is 4.1 states/eV per cell. For the formation energy, the calculation gives -0.502 eV per atom.

It has space group P4mm (No. 99), with a = 5.4340 Å, b = 5.4340 Å, c = 5.8801 Å, α = 90.00°, β = 90.00° and γ = 90.00°. The asymmetric unit holds Ca at (0.0000, 0.0000, 0.0000), La at (0.0000, 0.5000, 0.4610), Pt at (0.5000, 0.5000, 0.2346) and Rh at (0.0000, 0.0000, 0.5138).

Entry from Alexandria: an optimized crystal structure of SmScHg (PBE).

The density of states at the Fermi level is 7.7 states/eV per cell. For the formation energy, the calculation gives -0.275 eV per atom.

It has space group I4mm (No. 107), with a = 3.5127 Å, b = 3.5127 Å, c = 12.6788 Å, α = 90.00°, β = 90.00° and γ = 90.00°. The asymmetric unit holds Sm at (0.0000, 0.0000, 0.0000), Sc at (0.0000, 0.0000, 0.3119) and Hg at (0.0000, 0.0000, 0.6776).

Entry from Alexandria: an optimized crystal structure of TbNdHo2Th (PBE).

The density of states at the Fermi level is 8.7 states/eV per cell. For the formation energy, the calculation gives 0.314 eV per atom.

It has space group Pmmm (No. 47), with a = 3.5392 Å, b = 5.6405 Å, c = 8.6928 Å, α = 90.00°, β = 90.00° and γ = 90.00°. The asymmetric unit holds Tb at (0.0000, 0.0000, 0.0000), Nd at (0.5000, 0.0000, 0.5000), Ho at (0.5000, 0.5000, 0.1789) and Th at (0.0000, 0.5000, 0.5000).

Entry from Alexandria: an optimized crystal structure of BeAuNO2 (PBE).

The uncorrected formation energy comes out at 0.22 eV/atom. The density of states at the Fermi level is 2.6 states/eV per cell.

It has space group P4/mmm (No. 123), with a = 3.1278 Å, b = 3.1278 Å, c = 6.6729 Å, α = 90.00°, β = 90.00° and γ = 90.00°. The asymmetric unit holds Be at (0.0000, 0.0000, 0.0000), Au at (0.5000, 0.5000, 0.5000), N at (0.0000, 0.0000, 0.5000) and O at (0.0000, 0.5000, 0.0000).

Entry from Alexandria: an optimized crystal structure of Pr2Ni3AgSn4 (PBE).

The density of states at the Fermi level is 5.1 states/eV per cell. For the formation energy, the calculation gives -0.495 eV per atom.

It has space group P-4m2 (No. 115), with a = 4.5107 Å, b = 4.5107 Å, c = 10.4737 Å, α = 90.00°, β = 90.00° and γ = 90.00°. The asymmetric unit holds Pr at (0.0000, 0.5000, 0.2492), Ni at (0.0000, 0.0000, 0.0000), Ni at (0.0000, 0.5000, 0.6189), Ag at (0.5000, 0.5000, 0.0000), Sn at (0.0000, 0.0000, 0.5000), Sn at (0.0000, 0.5000, 0.8580) and Sn at (0.5000, 0.5000, 0.5000).

Entry from Alexandria: an optimized crystal structure of Pm8Ge3PSe4 (PBE).

The uncorrected formation energy comes out at -1.51 eV/atom. The density of states at the Fermi level is 11.8 states/eV per cell.

It has space group R-3m (No. 166, hexagonal axes), with a = 8.4438 Å, b = 8.4438 Å, c = 20.8344 Å, α = 90.00°, β = 90.00° and γ = 120.00°. The asymmetric unit holds Pm at (0.0000, 0.0000, 0.2471), Pm at (0.0019, 0.5009, 0.2455), Ge at (0.0000, 0.5000, 0.5000), P at (0.0000, 0.0000, 0.5000), Se at (0.0000, 0.0000, 0.0000) and Se at (0.0000, 0.5000, 0.0000).

Entry from Alexandria: an optimized crystal structure of CaTaAg2 (PBE).

The density of states at the Fermi level is 9.1 states/eV per cell. For the formation energy, the calculation gives 0.599 eV per atom.

It has space group Immm (No. 71), with a = 3.0821 Å, b = 5.3318 Å, c = 10.3733 Å, α = 90.00°, β = 90.00° and γ = 90.00°. The asymmetric unit holds Ca at (0.0000, 0.0000, 0.0000), Ta at (0.0000, 0.0000, 0.5000) and Ag at (0.0000, 0.5000, 0.2320).

Entry from Alexandria: an optimized crystal structure of ReAs (PBE).

The density of states at the Fermi level is 2.7 states/eV per cell. For the formation energy, the calculation gives 0.269 eV per atom.

It has space group P6_3/m (No. 176), with a = 9.1845 Å, b = 9.1845 Å, c = 3.1115 Å, α = 90.00°, β = 90.00° and γ = 120.00°. The asymmetric unit holds Re at (0.1408, 0.6302, 0.2500) and As at (0.0443, 0.3254, 0.2500).

Entry from Alexandria: an optimized crystal structure of LaSmHo14 (PBE).

The density of states at the Fermi level is 39.5 states/eV per cell. For the formation energy, the calculation gives 0.010 eV per atom.

It has space group Amm2 (No. 38), with a = 11.4713 Å, b = 7.1326 Å, c = 12.3216 Å, α = 90.00°, β = 90.00° and γ = 90.00°. The asymmetric unit holds La at (0.0000, 0.0000, 0.0000), Sm at (0.0000, 0.0000, 0.5005), Ho at (0.0000, 0.2497, 0.2506), Ho at (0.2511, 0.0000, 0.6676), Ho at (0.2530, 0.0000, 0.1677), Ho at (0.2543, 0.2495, 0.4170), Ho at (0.5000, 0.0000, 0.3339), Ho at (0.5000, 0.0000, 0.8336) and Ho at (0.5000, 0.2494, 0.5844).

Entry from Alexandria: an optimized crystal structure of ThMn17Co (PBE).

The density of states at the Fermi level is 79.6 states/eV per cell. For the formation energy, the calculation gives 0.190 eV per atom.

It has space group R3m (No. 160, hexagonal axes), with a = 8.0912 Å, b = 8.0912 Å, c = 12.4014 Å, α = 90.00°, β = 90.00° and γ = 120.00°. The asymmetric unit holds Th at (0.0000, 0.0000, 0.0000), Mn at (0.0000, 0.0000, 0.2524), Mn at (0.0000, 0.0000, 0.4307), Mn at (0.0016, 0.5008, 0.5045), Mn at (0.0157, 0.5078, 0.1957), Mn at (0.0173, 0.3138, 0.3505), Mn at (0.1704, 0.3407, 0.1790) and Co at (0.0000, 0.0000, 0.6513).

Entry from Alexandria: an optimized crystal structure of HfTlSb2I (PBE).

The uncorrected formation energy comes out at -0.05 eV/atom. The density of states at the Fermi level is 3.5 states/eV per cell.

It has space group P4/mmm (No. 123), with a = 5.5168 Å, b = 5.5168 Å, c = 6.0302 Å, α = 90.00°, β = 90.00° and γ = 90.00°. The asymmetric unit holds Hf at (0.0000, 0.0000, 0.0000), Tl at (0.5000, 0.5000, 0.5000), Sb at (0.0000, 0.5000, 0.0000) and I at (0.0000, 0.0000, 0.5000).

Entry from Alexandria: an optimized crystal structure of K3P4 (PBE).

The density of states at the Fermi level is 3.3 states/eV per cell. For the formation energy, the calculation gives 0.391 eV per atom.

It has space group P6/mmm (No. 191), with a = 6.8131 Å, b = 6.8131 Å, c = 5.2891 Å, α = 90.00°, β = 90.00° and γ = 120.00°. The asymmetric unit holds K at (0.0000, 0.5000, 0.0000), P at (0.0000, 0.0000, 0.1864) and P at (0.3333, 0.6667, 0.5000).

Entry from Alexandria: an optimized crystal structure of CeUOs (PBE).

The density of states at the Fermi level is 12.8 states/eV per cell. For the formation energy, the calculation gives -0.016 eV per atom.

It has space group I4mm (No. 107), with a = 3.5117 Å, b = 3.5117 Å, c = 10.0103 Å, α = 90.00°, β = 90.00° and γ = 90.00°. The asymmetric unit holds Ce at (0.0000, 0.0000, 0.0000), U at (0.0000, 0.0000, 0.6723) and Os at (0.0000, 0.0000, 0.3144).

Entry from Alexandria: an optimized crystal structure of CsSr2 (PBE).

The density of states at the Fermi level is 21.9 states/eV per cell. For the formation energy, the calculation gives 0.141 eV per atom.

It has space group Fd-3m (No. 227, origin choice 2), with a = 11.9661 Å, b = 11.9661 Å, c = 11.9661 Å, α = 90.00°, β = 90.00° and γ = 90.00°. The asymmetric unit holds Cs at (0.1250, 0.1250, 0.1250) and Sr at (0.0000, 0.0000, 0.5000).

Entry from Alexandria: an optimized crystal structure of TaNi2AuI (PBE).

The uncorrected formation energy comes out at 1.21 eV/atom. The density of states at the Fermi level is 5.7 states/eV per cell.

It has space group P4/mmm (No. 123), with a = 4.7138 Å, b = 4.7138 Å, c = 5.2068 Å, α = 90.00°, β = 90.00° and γ = 90.00°. The asymmetric unit holds Ta at (0.0000, 0.0000, 0.0000), Ni at (0.0000, 0.5000, 0.0000), Au at (0.0000, 0.0000, 0.5000) and I at (0.5000, 0.5000, 0.5000).

Entry from Alexandria: an optimized crystal structure of SrLi2Ti (PBE).

The density of states at the Fermi level is 25.3 states/eV per cell. For the formation energy, the calculation gives 0.716 eV per atom.

It has space group I-42d (No. 122), with a = 4.5940 Å, b = 4.5940 Å, c = 22.1628 Å, α = 90.00°, β = 90.00° and γ = 90.00°. The asymmetric unit holds Sr at (0.0000, 0.0000, 0.0000), Li at (0.1823, 0.2500, 0.6250) and Ti at (0.0000, 0.0000, 0.5000).

Entry from Alexandria: an optimized crystal structure of Ac2C2Se (PBE).

The uncorrected formation energy comes out at -0.84 eV/atom. The density of states at the Fermi level is 6.9 states/eV per cell.

It has space group C2/c (No. 15), with a = 14.9503 Å, b = 4.4661 Å, c = 7.4330 Å, α = 90.00°, β = 101.85° and γ = 90.00°. The asymmetric unit holds Ac at (0.1394, 0.2051, 0.1416), C at (0.2289, 0.3645, 0.5283) and Se at (0.0000, 0.2884, 0.7500).

Entry from Alexandria: an optimized crystal structure of Ba3SmGe2O9 (PBE).

The uncorrected formation energy comes out at -2.33 eV/atom. The density of states at the Fermi level is 8.7 states/eV per cell.

It has space group P-3m1 (No. 164), with a = 5.8663 Å, b = 5.8663 Å, c = 7.2664 Å, α = 90.00°, β = 90.00° and γ = 120.00°. The asymmetric unit holds Ba at (0.0000, 0.0000, 0.0000), Ba at (0.3333, 0.6667, 0.6858), Sm at (0.0000, 0.0000, 0.5000), Ge at (0.3333, 0.6667, 0.1699), O at (0.0000, 0.5000, 0.0000) and O at (0.1791, 0.3583, 0.3093).

Entry from Alexandria: an optimized crystal structure of InTeAu3 (PBE).

The uncorrected formation energy comes out at 0.62 eV/atom. The density of states at the Fermi level is 4.5 states/eV per cell.

It has space group Pm-3m (No. 221), with a = 5.1912 Å, b = 5.1912 Å, c = 5.1912 Å, α = 90.00°, β = 90.00° and γ = 90.00°. The asymmetric unit holds In at (0.0000, 0.0000, 0.0000), Te at (0.5000, 0.5000, 0.5000) and Au at (0.0000, 0.0000, 0.5000).

Entry from Alexandria: an optimized crystal structure of InSi2Mo (PBE).

The uncorrected formation energy comes out at 0.48 eV/atom. The density of states at the Fermi level is 4.9 states/eV per cell.

It has space group C2/m (No. 12), with a = 5.7292 Å, b = 8.8817 Å, c = 3.1717 Å, α = 90.00°, β = 122.17° and γ = 90.00°. The asymmetric unit holds In at (0.0000, 0.0000, 0.0000), Si at (0.2500, 0.2500, 0.0000) and Mo at (0.0000, 0.5000, 0.0000).

Entry from Alexandria: an optimized crystal structure of La2PmCr2N6 (PBE).

The uncorrected formation energy comes out at -0.86 eV/atom. The density of states at the Fermi level is 8.5 states/eV per cell.

It has space group R-3m (No. 166, hexagonal axes), with a = 5.6393 Å, b = 5.6393 Å, c = 18.7325 Å, α = 90.00°, β = 90.00° and γ = 120.00°. The asymmetric unit holds La at (0.0000, 0.0000, 0.2062), Pm at (0.0000, 0.0000, 0.0000), Cr at (0.0000, 0.0000, 0.4040) and N at (0.0024, 0.5012, 0.2356).

Entry from Alexandria: an optimized crystal structure of LaYAg3 (PBE).

The density of states at the Fermi level is 18.9 states/eV per cell. For the formation energy, the calculation gives -0.282 eV per atom.

It has space group Cmcm (No. 63), with a = 3.6803 Å, b = 28.2280 Å, c = 4.8217 Å, α = 90.00°, β = 90.00° and γ = 90.00°. The asymmetric unit holds La at (0.0000, 0.0756, 0.2500), Y at (0.0000, 0.2093, 0.7500), Ag at (0.0000, 0.3201, 0.7500), Ag at (0.0000, 0.3770, 0.2500) and Ag at (0.0000, 0.4756, 0.2500).

Entry from Alexandria: an optimized crystal structure of YRhNF2 (PBE).

The uncorrected formation energy comes out at -0.99 eV/atom. The density of states at the Fermi level is 3.0 states/eV per cell.

It has space group P4/mmm (No. 123), with a = 4.3486 Å, b = 4.3486 Å, c = 3.8122 Å, α = 90.00°, β = 90.00° and γ = 90.00°. The asymmetric unit holds Y at (0.0000, 0.0000, 0.0000), Rh at (0.5000, 0.5000, 0.5000), N at (0.5000, 0.5000, 0.0000) and F at (0.0000, 0.5000, 0.5000).

Entry from Alexandria: an optimized crystal structure of ZnHPt2I (PBE).

Its calculated total energy is -2.96 eV per atom. The density of states at the Fermi level is 1.6 states/eV per cell.

It has space group P4/mmm (No. 123), with a = 5.1133 Å, b = 5.1133 Å, c = 3.5071 Å, α = 90.00°, β = 90.00° and γ = 90.00°. The asymmetric unit holds Zn at (0.0000, 0.0000, 0.0000), H at (0.5000, 0.5000, 0.0000), Pt at (0.0000, 0.5000, 0.5000) and I at (0.5000, 0.5000, 0.5000).